Be2AlAg GGA-PBE relaxed; density = 4.74 Mg/m³; calculated formation energy = 115.8 kJ/mol of formula units; size of the total moment = 0.000 μB per formula unit; space group = P2/m; energy = -3.21 eV/atom
1.0
-2.588 3.225 -0.288
-2.095 -1.737 -0.617
-0.839 -0.266 4.547
Be Al Ag
2 1 1
Direct
0.000 0.062 0.975
0.000 0.438 0.525
0.500 0.750 0.750
0.500 0.250 0.250